TbPmTh (PBE, optimized geometry); energy above the most stable polymorph in this dataset = 4 kJ/mol of formula units; size of the total moment = 0.00 μB/cell; E = -16.69 eV/f.u.; calculated volume = 392.86 Å³/cell; mass density = 9.06 Mg/m³; DOS(E_F) = 1.524 states/eV per atom; calculated formation energy = 0.036 eV/atom
1.0
9.144 2.355 -3.773
3.419 6.118 -1.507
-4.006 -1.671 9.869
Tb Pm Th
4 4 4
Cartesian
8.718 6.047 -2.368 Tb
2.437 1.811 0.272 Tb
6.121 4.990 4.317 Tb
-0.161 0.754 6.957 Tb
5.710 2.460 1.728 Pm
1.138 1.282 3.614 Pm
7.419 5.519 0.975 Pm
2.848 4.341 2.861 Pm
4.182 4.922 -0.462 Th
1.513 3.761 6.184 Th
7.044 3.040 -1.595 Th
4.375 1.880 5.051 Th